[1]
{"formula": "PrDy6Er6", "functional": "PBE-GGA", "state": "optimized geometry", "e_form_mev_per_atom": 272.7, "total_energy_ev_per_atom": -4.3249, "lattice_angstrom": [[6.608, 0.000, 0.000], [-3.304, 5.723, 0.000], [0.000, 0.000, 11.394]], "species": ["Er", "Er", "Er", "Er", "Er", "Er", "Dy", "Dy", "Dy", "Dy", "Dy", "Dy", "Pr"], "fractional_positions": [[0.000, 0.500, 0.245], [0.500, 0.500, 0.245], [0.000, 0.500, 0.755], [0.500, 0.500, 0.755], [0.500, 0.000, 0.245], [0.500, 0.000, 0.755], [0.667, 0.333, 0.500], [0.000, 0.000, 0.350], [0.333, 0.667, 0.500], [0.333, 0.667, 0.000], [0.000, 0.000, 0.650], [0.667, 0.333, 0.000], [0.000, 0.000, 0.000]]}

---

[2]
{"formula": "Pr3DyEr", "functional": "PBE-GGA", "state": "optimized geometry", "polymorph_energy_kj_per_mol_fu": 70.3, "e_form_mev_per_atom": 162.9, "total_energy_ev_per_atom": -4.5378, "lattice_angstrom": [[3.592, 0.000, 0.000], [0.000, 11.104, 0.000], [0.000, 0.000, 17.695]], "species": ["Pr", "Pr", "Pr", "Pr", "Pr", "Pr", "Pr", "Pr", "Pr", "Pr", "Pr", "Pr", "Er", "Er", "Er", "Er", "Dy", "Dy", "Dy", "Dy"], "fractional_positions": [[0.243, 0.443, 0.576], [0.243, 0.057, 0.576], [0.739, 0.000, 0.750], [0.757, 0.057, 0.076], [0.757, 0.557, 0.424], [0.757, 0.943, 0.424], [0.739, 0.500, 0.750], [0.261, 0.000, 0.250], [0.243, 0.943, 0.924], [0.243, 0.557, 0.924], [0.261, 0.500, 0.250], [0.757, 0.443, 0.076], [0.235, 0.250, 0.726], [0.765, 0.750, 0.274], [0.235, 0.750, 0.774], [0.765, 0.250, 0.226], [0.267, 0.750, 0.102], [0.267, 0.250, 0.398], [0.733, 0.250, 0.898], [0.733, 0.750, 0.602]]}

---

[3]
{"formula": "Pr3Dy6Er", "functional": "PBE-GGA", "state": "optimized geometry", "polymorph_energy_kj_per_mol_fu": 0.0, "e_form_mev_per_atom": 149.1, "total_energy_ev_per_atom": -4.5023, "lattice_angstrom": [[-3.162, -5.511, -0.553], [8.692, -5.383, 3.942], [-7.688, 3.723, 6.863]], "species": ["Dy", "Dy", "Dy", "Dy", "Dy", "Dy", "Dy", "Dy", "Dy", "Dy", "Dy", "Dy", "Er", "Er", "Pr", "Pr", "Pr", "Pr", "Pr", "Pr"], "fractional_positions": [[0.550, 0.286, 0.377], [0.870, 0.949, 0.529], [0.870, 0.471, 0.051], [0.050, 0.714, 0.623], [0.148, 0.728, 0.272], [0.370, 0.529, 0.949], [0.371, 0.961, 0.039], [0.550, 0.623, 0.714], [0.370, 0.051, 0.471], [0.871, 0.039, 0.961], [0.648, 0.272, 0.728], [0.050, 0.377, 0.286], [0.628, 0.806, 0.194], [0.128, 0.194, 0.806], [0.964, 0.711, 0.938], [0.964, 0.062, 0.289], [0.571, 0.612, 0.388], [0.464, 0.938, 0.711], [0.464, 0.289, 0.062], [0.071, 0.388, 0.612]]}

---

[4]
{"formula": "PrDyEr4", "functional": "PBE-GGA", "state": "optimized geometry", "polymorph_energy_kj_per_mol_fu": 71.1, "e_form_mev_per_atom": 143.3, "total_energy_ev_per_atom": -4.4623, "lattice_angstrom": [[-0.695, -6.084, 1.869], [7.372, 3.896, 3.451], [-7.223, 3.317, 3.130]], "species": ["Pr", "Pr", "Er", "Er", "Er", "Er", "Er", "Er", "Er", "Er", "Dy", "Dy"], "fractional_positions": [[0.666, 0.416, 0.831], [0.334, 0.584, 0.169], [0.193, 0.574, 0.735], [0.745, 0.712, 0.610], [0.255, 0.288, 0.390], [0.635, 0.101, 0.390], [0.042, 0.161, 0.735], [0.958, 0.839, 0.265], [0.365, 0.899, 0.610], [0.807, 0.426, 0.265], [0.249, 0.999, 0.998], [0.751, 0.001, 0.002]]}

---

[5]
{"formula": "Pr8Dy4Er", "functional": "PBE-GGA", "state": "optimized geometry", "e_form_mev_per_atom": 188.6, "total_energy_ev_per_atom": -4.5197, "lattice_angstrom": [[6.421, 0.000, -3.464], [-4.144, 6.003, -0.001], [1.539, 1.063, 10.536]], "species": ["Pr", "Pr", "Pr", "Pr", "Pr", "Pr", "Pr", "Pr", "Er", "Dy", "Dy", "Dy", "Dy"], "fractional_positions": [[0.961, 0.751, 0.711], [0.577, 0.788, 0.365], [0.498, 0.249, 0.289], [0.039, 0.790, 0.289], [0.502, 0.751, 0.711], [0.961, 0.210, 0.711], [0.423, 0.212, 0.634], [0.039, 0.249, 0.289], [0.000, 0.500, 0.500], [0.500, 0.500, 0.000], [0.000, 0.500, 0.000], [0.500, 0.000, 0.000], [0.000, 0.000, 0.000]]}

---

[6]
{"formula": "Pr5Dy2Er12", "functional": "PBE-GGA", "state": "optimized geometry", "polymorph_energy_kj_per_mol_fu": 0.0, "e_form_mev_per_atom": 118.7, "total_energy_ev_per_atom": -4.5053, "lattice_angstrom": [[4.640, 11.415, 0.093], [-4.640, 11.415, 0.093], [0.000, 6.251, 5.947]], "species": ["Er", "Er", "Er", "Er", "Er", "Er", "Er", "Er", "Er", "Er", "Er", "Er", "Pr", "Pr", "Pr", "Pr", "Pr", "Dy", "Dy"], "fractional_positions": [[0.326, 0.969, 0.945], [0.075, 0.075, 0.728], [0.439, 0.819, 0.410], [0.561, 0.181, 0.590], [0.556, 0.556, 0.223], [0.674, 0.031, 0.055], [0.969, 0.326, 0.945], [0.925, 0.925, 0.272], [0.444, 0.444, 0.777], [0.181, 0.561, 0.590], [0.819, 0.439, 0.410], [0.031, 0.674, 0.055], [0.769, 0.769, 0.891], [0.707, 0.707, 0.604], [0.000, 0.000, 0.500], [0.293, 0.293, 0.396], [0.231, 0.231, 0.109], [0.675, 0.325, 0.000], [0.325, 0.675, 0.000]]}

---

[7]
{"formula": "PrDy6Er2", "functional": "PBE-GGA", "state": "optimized geometry", "polymorph_energy_kj_per_mol_fu": 282.8, "e_form_mev_per_atom": 344.8, "total_energy_ev_per_atom": -4.2683, "lattice_angstrom": [[-6.659, 3.070, -0.140], [-5.988, -4.233, -0.076], [-4.328, -0.343, 6.299]], "species": ["Dy", "Dy", "Dy", "Dy", "Dy", "Dy", "Pr", "Er", "Er"], "fractional_positions": [[0.782, 0.261, 0.696], [0.047, 0.047, 0.291], [0.047, 0.614, 0.291], [0.261, 0.261, 0.696], [0.261, 0.782, 0.696], [0.614, 0.047, 0.291], [0.318, 0.318, 0.047], [0.580, 0.580, 0.261], [0.756, 0.756, 0.733]]}

---

[8]
{"formula": "Pr6DyEr5", "functional": "PBE-GGA", "state": "optimized geometry", "e_form_mev_per_atom": 18.1, "total_energy_ev_per_atom": -4.6563, "lattice_angstrom": [[-2.695, -2.484, 3.630], [-1.098, -7.851, -6.185], [8.414, 2.100, 4.014]], "species": ["Er", "Er", "Er", "Er", "Er", "Pr", "Pr", "Pr", "Pr", "Pr", "Pr", "Dy"], "fractional_positions": [[0.000, 0.500, 0.000], [0.333, 0.833, 0.666], [0.333, 0.333, 0.666], [0.667, 0.667, 0.334], [0.667, 0.167, 0.334], [0.833, 0.583, 0.667], [0.500, 0.749, 0.000], [0.167, 0.417, 0.333], [0.833, 0.084, 0.667], [0.500, 0.251, 0.000], [0.167, 0.916, 0.333], [0.000, 0.000, 0.000]]}

---

[9]
{"formula": "Pr2DyEr6", "functional": "PBE-GGA", "state": "optimized geometry", "polymorph_energy_kj_per_mol_fu": 33.3, "e_form_mev_per_atom": 113.2, "total_energy_ev_per_atom": -4.5022, "lattice_angstrom": [[6.354, -0.383, 1.581], [2.013, 9.341, 0.432], [-0.868, -1.264, 9.442]], "species": ["Er", "Er", "Er", "Er", "Er", "Er", "Er", "Er", "Er", "Er", "Er", "Er", "Dy", "Dy", "Pr", "Pr", "Pr", "Pr"], "fractional_positions": [[0.003, 0.276, 0.654], [0.686, 0.221, 0.041], [0.186, 0.041, 0.221], [0.732, 0.058, 0.461], [0.314, 0.779, 0.959], [0.503, 0.654, 0.276], [0.814, 0.959, 0.779], [0.768, 0.539, 0.942], [0.497, 0.346, 0.724], [0.997, 0.724, 0.346], [0.232, 0.461, 0.058], [0.268, 0.942, 0.539], [0.750, 0.883, 0.117], [0.250, 0.117, 0.883], [0.375, 0.329, 0.383], [0.125, 0.617, 0.671], [0.875, 0.383, 0.329], [0.625, 0.671, 0.617]]}

---

[10]
{"formula": "Pr2Dy5Er5", "functional": "PBE-GGA", "state": "optimized geometry", "e_form_mev_per_atom": 22.8, "total_energy_ev_per_atom": -4.5926, "lattice_angstrom": [[0.451, -2.328, 4.431], [-0.695, -7.832, -1.194], [9.856, -4.066, -0.290]], "species": ["Dy", "Dy", "Dy", "Dy", "Dy", "Er", "Er", "Er", "Er", "Er", "Pr", "Pr"], "fractional_positions": [[0.334, 0.332, 0.000], [0.500, 0.500, 0.500], [0.585, 0.080, 0.750], [0.415, 0.920, 0.250], [0.666, 0.668, 0.000], [0.000, 0.000, 0.000], [0.248, 0.753, 0.750], [0.832, 0.836, 0.500], [0.752, 0.247, 0.250], [0.168, 0.164, 0.500], [0.917, 0.417, 0.749], [0.083, 0.583, 0.251]]}